# 1
The following is a DFT calculation (PBE) of crystalline TlInCuPb2 at its relaxed geometry.

## Properties
Magnetization, μB/cell: 0.00
DOS(E_F), states/eV/atom: 0.563
Total DFT energy (no corrections), eV/atom: -3.139
E_form, meV per atom: 184.1

abc: 5.4007 5.4007 5.0828
angles: 90.00 90.00 90.00
With the nearest neighbours (Å) after each atom.
Space group P4/mmm (No. 123)
Symmetry-distinct sites (fractional):
1 Tl 0.0000 0.0000 0.0000 x1  8 Pb 3.71, 4 In 3.82
2 In 0.5000 0.5000 0.0000 x1  2 Cu 2.54
3 Cu 0.5000 0.5000 0.5000 x1  2 In 2.54, 4 Pb 2.70
4 Pb 0.0000 0.5000 0.5000 x2  2 Cu 2.70

***

# 2
The following is a DFT calculation (PBE) of crystalline ZnIn2CuPb at its relaxed geometry.

## Properties
Magnetization, μB/cell: 0.00
DOS(E_F), states/eV/atom: 0.457
Total DFT energy (no corrections), eV/atom: -2.725
E_form, meV per atom: 186.0

abc: 5.1811 5.1811 4.6872
angles: 90.00 90.00 90.00
With the nearest neighbours (Å) after each atom.
Space group P4/mmm (No. 123)
Symmetry-distinct sites (fractional):
1 Zn 0.0000 0.0000 0.0000 x1  2 Cu 2.34
2 In 0.0000 0.5000 0.5000 x2  2 Cu 2.59
3 Cu 0.0000 0.0000 0.5000 x1  2 Zn 2.34, 4 In 2.59
4 Pb 0.5000 0.5000 0.0000 x1  8 In 3.49, 4 Zn 3.66

***

# 3
The following is a DFT calculation (PBE) of crystalline InCu2Pd2 at its relaxed geometry.

## Properties
Polymorph energy (0 for the lowest one), meV/atom: 87
Magnetization, μB/cell: 0.00
DOS(E_F), states/eV/atom: 0.404
Total DFT energy (no corrections), eV/atom: -4.372
E_form, meV per atom: -108.3

abc: 3.4285 3.4285 13.7821
angles: 90.00 90.00 90.00
With the nearest neighbours (Å) after each atom.
Space group I4/mmm (No. 139)
Symmetry-distinct sites (fractional):
1 In 0.0000 0.0000 0.0000 x2  8 Pd 2.82
2 Cu 0.0000 0.5000 0.2500 x4  4 Cu 2.42, 4 Pd 2.64
3 Pd 0.0000 0.0000 0.3957 x4  4 Cu 2.64, 4 In 2.82, 1 Pd 2.88

***

# 4
The following is a DFT calculation (PBE) of crystalline InCu2Pd4 at its relaxed geometry.

## Properties
Magnetization, μB/cell: 0.00
DOS(E_F), states/eV/atom: 0.412
Total DFT energy (no corrections), eV/atom: -4.688
E_form, meV per atom: -159.6

abc: 7.1791 7.9264 7.9595
angles: 90.00 90.00 90.00
With the nearest neighbours (Å) after each atom.
Space group I2_12_12_1 (No. 24)
Symmetry-distinct sites (fractional):
1 In 0.1253 0.0000 0.2500 x4  8 Pd 2.73
2 Cu 0.0000 0.2500 0.8542 x4  2 Cu 2.42, 6 Pd 2.63-2.68
3 Cu 0.2500 0.3930 0.0000 x4  2 Cu 2.42, 6 Pd 2.64-2.68
4 Pd 0.0550 0.0718 0.5793 x8  3 Cu 2.63-2.68, 2 In 2.73, 5 Pd 2.81-2.95
5 Pd 0.1954 0.3303 0.3227 x8  3 Cu 2.64-2.68, 2 In 2.73, 5 Pd 2.81-2.93

***

# 5
The following is a DFT calculation (PBE) of crystalline In2CuPd at its relaxed geometry.

## Properties
Magnetization, μB/cell: 0.00
DOS(E_F), states/eV/atom: 0.317
Total DFT energy (no corrections), eV/atom: -3.874
E_form, meV per atom: -182.7

abc: 4.7154 4.7154 3.2007
angles: 90.00 90.00 90.00
With the nearest neighbours (Å) after each atom.
Space group P4/mmm (No. 123)
Symmetry-distinct sites (fractional):
1 In 0.0000 0.5000 0.0000 x2  4 Pd 2.85, 4 Cu 2.85
2 Cu 0.0000 0.0000 0.5000 x1  8 In 2.85
3 Pd 0.5000 0.5000 0.5000 x1  8 In 2.85

***

# 6
The following is a DFT calculation (PBE) of crystalline InCu2Pd3 at its relaxed geometry.

## Properties
Magnetization, μB/cell: 0.00
DOS(E_F), states/eV/atom: 0.262
Total DFT energy (no corrections), eV/atom: -4.721
E_form, meV per atom: -302.9

abc: 4.1876 12.5709 6.8793
angles: 90.00 90.00 90.00
With the nearest neighbours (Å) after each atom.
Space group Cmmm (No. 65)
Symmetry-distinct sites (fractional):
1 In 0.0000 0.1562 0.0000 x4  8 Pd 2.72-2.88, 2 Cu 2.87
2 Cu 0.0000 0.1695 0.5000 x4  8 Pd 2.64-2.66, 2 Cu 2.91
3 Cu 0.0000 0.5000 0.0000 x2  8 Pd 2.76-2.81, 4 In 2.87
4 Cu 0.0000 0.5000 0.5000 x2  8 Pd 2.61-2.65
5 Pd 0.0000 0.0000 0.2733 x4  6 Cu 2.61-2.81, 2 In 2.72
6 Pd 0.0000 0.3344 0.2625 x8  5 Cu 2.64-2.76, 3 In 2.77-2.88, 2 Pd 2.95

***

# 7
The following is a DFT calculation (PBE) of crystalline In6CuPd12 at its relaxed geometry.

## Properties
Magnetization, μB/cell: 0.00
DOS(E_F), states/eV/atom: 0.499
Total DFT energy (no corrections), eV/atom: -4.739
E_form, meV per atom: -379.4

abc: 11.8656 11.8656 8.3580
angles: 90.00 90.00 120.00
With the nearest neighbours (Å) after each atom.
Space group R-3 (No. 148, hexagonal axes)
Symmetry-distinct sites (fractional):
1 In 0.0452 0.8395 0.2470 x18  8 Pd 2.72-2.94
2 Cu 0.0000 0.0000 0.5000 x3  6 Pd 2.66
3 Pd 0.0449 0.8084 0.5769 x18  1 Cu 2.66, 5 Pd 2.75-2.90, 4 In 2.78-2.94
4 Pd 0.0611 0.8218 0.9237 x18  4 In 2.72-2.86, 6 Pd 2.75-2.90

***

# 8
The following is a DFT calculation (PBE) of crystalline InCu3Pd5 at its relaxed geometry.

## Properties
Magnetization, μB/cell: 0.00
DOS(E_F), states/eV/atom: 0.645
Total DFT energy (no corrections), eV/atom: -4.406
E_form, meV per atom: 148.8

abc: 8.2831 7.0988 10.4663
angles: 90.00 96.76 90.00
With the nearest neighbours (Å) after each atom.
Space group C2/m (No. 12)
Symmetry-distinct sites (fractional):
1 In 0.0506 0.0000 0.2638 x4  3 Pd 2.54-2.73, 3 Cu 2.56-2.74
2 Cu 0.0000 0.0000 0.0000 x2  4 Pd 2.28-2.48
3 Cu 0.0000 0.0000 0.5000 x2  2 In 2.56, 2 Cu 2.68, 4 Pd 2.71
4 Cu 0.1792 0.5000 0.5166 x4  6 Pd 2.52-2.74, 1 Cu 2.68
5 Cu 0.2476 0.5000 0.1270 x4  6 Pd 2.56-2.70, 1 Cu 2.61, 1 In 2.74
6 Pd 0.0000 0.3208 0.0000 x4  1 Cu 2.28, 1 Pd 2.54
7 Pd 0.0242 0.5000 0.2947 x4  3 Cu 2.52-2.74, 3 Pd 2.59-2.73
8 Pd 0.1999 0.2123 0.6660 x8  4 Cu 2.57-2.72, 2 Pd 2.73-2.82, 1 In 2.73
9 Pd 0.2234 0.5000 0.8811 x4  2 Cu 2.48-2.56, 1 In 2.54, 3 Pd 2.59-2.67

***

# 9
The following is a DFT calculation (PBE) of crystalline InCuPd4 at its relaxed geometry.

## Properties
Polymorph energy (0 for the lowest one), meV/atom: 5
Magnetization, μB/cell: 0.00
DOS(E_F), states/eV/atom: 0.532
Total DFT energy (no corrections), eV/atom: -4.885
E_form, meV per atom: -284.2

abc: 4.7902 8.5936 4.7697
angles: 90.00 106.01 90.00
With the nearest neighbours (Å) after each atom.
Space group C2/m (No. 12)
Symmetry-distinct sites (fractional):
1 In 0.0000 0.0000 0.0000 x2  10 Pd 2.77-2.91, 2 Cu 2.88
2 Cu 0.0000 0.5000 0.5000 x2  10 Pd 2.76-2.87, 2 In 2.88
3 Pd 0.0000 0.1659 0.5000 x4  2 In 2.78, 3 Cu 2.79-2.87, 7 Pd 2.80-2.88
4 Pd 0.0000 0.3383 0.0000 x4  2 Cu 2.76, 3 In 2.77-2.91, 7 Pd 2.78-2.88

***

# 10
The following is a DFT calculation (PBE) of crystalline In2CuPd3 at its relaxed geometry.

## Properties
Polymorph energy (0 for the lowest one), meV/atom: 4
Magnetization, μB/cell: 0.00
DOS(E_F), states/eV/atom: 0.460
Total DFT energy (no corrections), eV/atom: -4.578
E_form, meV per atom: -386.2

abc: 3.2462 3.2462 9.4339
angles: 90.00 90.00 90.00
With the nearest neighbours (Å) after each atom.
Space group P4/mmm (No. 123)
Symmetry-distinct sites (fractional):
1 In 0.0000 0.0000 0.1807 x2  8 Pd 2.79-2.86, 1 Cu 3.01
2 Cu 0.0000 0.0000 0.5000 x1  8 Pd 2.70, 2 In 3.01
3 Pd 0.5000 0.5000 0.0000 x1  8 In 2.86
4 Pd 0.5000 0.5000 0.3488 x2  4 Cu 2.70, 4 In 2.79, 1 Pd 2.85

***

# 11
The following is a DFT calculation (PBE) of crystalline In2CuPd at its relaxed geometry.

## Properties
Magnetization, μB/cell: 0.00
DOS(E_F), states/eV/atom: 0.425
Total DFT energy (no corrections), eV/atom: -3.879
E_form, meV per atom: -187.8

abc: 3.3913 3.3913 6.1998
angles: 90.00 90.00 90.00
With the nearest neighbours (Å) after each atom.
Space group P4/mmm (No. 123)
Symmetry-distinct sites (fractional):
1 In 0.0000 0.0000 0.2473 x2  4 Cu 2.85, 4 Pd 2.86, 2 In 3.07-3.13
2 Cu 0.5000 0.5000 0.0000 x1  8 In 2.85, 2 Pd 3.10
3 Pd 0.5000 0.5000 0.5000 x1  8 In 2.86, 2 Cu 3.10

***

# 12
The following is a DFT calculation (PBE) of crystalline InCuPd6 at its relaxed geometry.

## Properties
Polymorph energy (0 for the lowest one), meV/atom: 0
Magnetization, μB/cell: 0.00
DOS(E_F), states/eV/atom: 1.596
Total DFT energy (no corrections), eV/atom: -4.972
E_form, meV per atom: -223.0

abc: 3.9804 3.9804 7.8870
angles: 90.00 90.00 90.00
With the nearest neighbours (Å) after each atom.
Space group P4/mmm (No. 123)
Symmetry-distinct sites (fractional):
1 In 0.0000 0.0000 0.0000 x1  12 Pd 2.81-2.86
2 Cu 0.0000 0.0000 0.5000 x1  12 Pd 2.75-2.81
3 Pd 0.0000 0.5000 0.2602 x4  2 Cu 2.75, 8 Pd 2.75-2.86, 2 In 2.86
4 Pd 0.5000 0.5000 0.0000 x1  4 In 2.81, 8 Pd 2.86
5 Pd 0.5000 0.5000 0.5000 x1  8 Pd 2.75, 4 Cu 2.81

***

# 13
The following is a DFT calculation (PBE) of crystalline InCuPd4 at its relaxed geometry.

## Properties
Polymorph energy (0 for the lowest one), meV/atom: 0
Magnetization, μB/cell: 0.00
DOS(E_F), states/eV/atom: 0.456
Total DFT energy (no corrections), eV/atom: -4.890
E_form, meV per atom: -289.4

abc: 8.9564 3.8740 5.7203
angles: 90.00 108.40 90.00
With the nearest neighbours (Å) after each atom.
Space group C2/m (No. 12)
Symmetry-distinct sites (fractional):
1 In 0.0000 0.0000 0.0000 x2  10 Pd 2.78-2.88, 2 Cu 2.86
2 Cu 0.0000 0.0000 0.5000 x2  10 Pd 2.75-2.83, 2 In 2.86
3 Pd 0.1608 0.5000 0.8238 x4  2 Cu 2.75, 3 In 2.78-2.88, 7 Pd 2.79-2.93
4 Pd 0.1672 0.5000 0.3395 x4  7 Pd 2.76-2.93, 3 Cu 2.78-2.83, 2 In 2.82

***

# 14
The following is a DFT calculation (PBE) of crystalline In2CuPd3 at its relaxed geometry.

## Properties
Polymorph energy (0 for the lowest one), meV/atom: 0
Magnetization, μB/cell: 0.00
DOS(E_F), states/eV/atom: 0.336
Total DFT energy (no corrections), eV/atom: -4.582
E_form, meV per atom: -390.3

abc: 4.6381 13.9330 6.1591
angles: 90.00 90.00 90.00
With the nearest neighbours (Å) after each atom.
Space group Cmmm (No. 65)
Symmetry-distinct sites (fractional):
1 In 0.0000 0.0000 0.0000 x2  8 Pd 2.80-2.87, 2 In 3.08
2 In 0.0000 0.0000 0.5000 x2  8 Pd 2.77-2.80, 2 In 3.08
3 In 0.0000 0.3340 0.0000 x4  8 Pd 2.79-2.82, 2 Cu 3.08
4 Cu 0.0000 0.3325 0.5000 x4  8 Pd 2.69-2.78
5 Pd 0.0000 0.1707 0.2608 x8  3 Cu 2.69-2.75, 5 In 2.79-2.87, 1 Pd 2.95
6 Pd 0.0000 0.5000 0.2553 x4  6 In 2.77-2.80, 2 Cu 2.78, 1 Pd 3.01

***

# 15
The following is a DFT calculation (PBE) of crystalline InCu2Pd5 at its relaxed geometry.

## Properties
Polymorph energy (0 for the lowest one), meV/atom: 51
Magnetization, μB/cell: 0.00
DOS(E_F), states/eV/atom: 0.587
Total DFT energy (no corrections), eV/atom: -4.789
E_form, meV per atom: -177.0

abc: 6.6883 6.6883 11.1408
angles: 90.00 90.00 90.00
With the nearest neighbours (Å) after each atom.
Space group I4/mcm (No. 140)
Symmetry-distinct sites (fractional):
1 In 0.0000 0.0000 0.2500 x4  10 Pd 2.76-2.79
2 Cu 0.1400 0.3600 0.0000 x8  8 Pd 2.58-2.61, 1 Cu 2.65
3 Pd 0.0000 0.0000 0.0000 x4  4 Cu 2.58, 2 In 2.79
4 Pd 0.1511 0.3489 0.3463 x16  3 Cu 2.59-2.61, 2 In 2.76, 2 Pd 2.85-2.86

***

# 16
The following is a DFT calculation (PBE) of crystalline In2CuPd6 at its relaxed geometry.

## Properties
Magnetization, μB/cell: 0.00
DOS(E_F), states/eV/atom: 0.319
Total DFT energy (no corrections), eV/atom: -4.637
E_form, meV per atom: -111.9

abc: 13.3659 6.2471 4.2697
angles: 90.00 108.16 90.00
With the nearest neighbours (Å) after each atom.
Space group C2/m (No. 12)
Symmetry-distinct sites (fractional):
1 In 0.1606 0.0000 0.1531 x4  8 Pd 2.67-2.69
2 Cu 0.0000 0.5000 0.5000 x2  8 Pd 2.54-2.55
3 Pd 0.0000 0.2761 0.0000 x4  2 Cu 2.55, 2 In 2.67, 1 Pd 2.80
4 Pd 0.1626 0.2619 0.6561 x8  1 Cu 2.54, 3 In 2.69

***

# 17
The following is a DFT calculation (PBE) of crystalline InCuPd5 at its relaxed geometry.

## Properties
Magnetization, μB/cell: 0.00
DOS(E_F), states/eV/atom: 0.658
Total DFT energy (no corrections), eV/atom: -4.746
E_form, meV per atom: -60.4

abc: 8.5103 9.3225 6.7420
angles: 90.00 118.30 90.00
With the nearest neighbours (Å) after each atom.
Space group C2/c (No. 15)
Symmetry-distinct sites (fractional):
1 In 0.0000 0.1879 0.2500 x4  7 Pd 2.58-2.82
2 Cu 0.2500 0.2500 0.0000 x4  6 Pd 2.49-2.67
3 Pd 0.0000 0.0888 0.7500 x4  2 Cu 2.49, 1 In 2.58, 2 Pd 2.69
4 Pd 0.0532 0.3592 0.5895 x8  2 Cu 2.57-2.67, 1 In 2.65, 5 Pd 2.65-2.86
5 Pd 0.2331 0.4245 0.3560 x8  4 Pd 2.65-2.90, 2 In 2.76-2.82, 1 Cu 2.96

***

# 18
The following is a DFT calculation (PBE) of crystalline InCu3Pd3 at its relaxed geometry.

## Properties
Magnetization, μB/cell: 0.00
DOS(E_F), states/eV/atom: 0.461
Total DFT energy (no corrections), eV/atom: -4.519
E_form, meV per atom: -146.5

abc: 8.4331 8.7599 5.9133
angles: 90.00 90.00 90.00
With the nearest neighbours (Å) after each atom.
Space group Cmmm (No. 65)
Symmetry-distinct sites (fractional):
1 In 0.2126 0.0000 0.0000 x4  6 Pd 2.69-2.88, 4 Cu 2.82-2.96
2 Cu 0.0000 0.2256 0.5000 x4  6 Pd 2.55-2.78, 2 Cu 2.69
3 Cu 0.0000 0.2490 0.0000 x4  6 Pd 2.61-2.69, 2 In 2.82
4 Cu 0.2156 0.0000 0.5000 x4  6 Pd 2.63-2.78, 2 Cu 2.69
5 Pd 0.0000 0.5000 0.2628 x4  6 Cu 2.69-2.78, 1 Pd 2.80, 2 In 2.88
6 Pd 0.2500 0.2500 0.2594 x8  6 Cu 2.55-2.63, 2 In 2.69, 1 Pd 2.84

***

# 19
The following is a DFT calculation (PBE) of crystalline In2CuPd at its relaxed geometry.

## Properties
Magnetization, μB/cell: 0.00
DOS(E_F), states/eV/atom: 0.287
Total DFT energy (no corrections), eV/atom: -3.752
E_form, meV per atom: -60.5

abc: 3.9601 3.9601 18.2604
angles: 90.00 90.00 120.00
With the nearest neighbours (Å) after each atom.
Space group R3m (No. 160, hexagonal axes)
Symmetry-distinct sites (fractional):
1 In 0.0000 0.0000 0.0000 x3  3 Pd 2.71, 3 Cu 2.73
2 In 0.0000 0.0000 0.1693 x3  3 Pd 2.76, 3 Cu 2.79
3 Cu 0.0000 0.0000 0.7487 x3  6 In 2.73-2.79, 1 Pd 2.95
4 Pd 0.0000 0.0000 0.5873 x3  6 In 2.71-2.76, 1 Cu 2.95

***

# 20
The following is a DFT calculation (PBE) of crystalline InCu2Pd at its relaxed geometry.

## Properties
Magnetization, μB/cell: 0.00
DOS(E_F), states/eV/atom: 0.310
Total DFT energy (no corrections), eV/atom: -4.221
E_form, meV per atom: -189.7

abc: 3.9121 3.9121 3.9482
angles: 90.00 90.00 90.00
With the nearest neighbours (Å) after each atom.
Space group P4/mmm (No. 123)
Symmetry-distinct sites (fractional):
1 In 0.0000 0.0000 0.0000 x1  4 Pd 2.77, 8 Cu 2.78
2 Cu 0.0000 0.5000 0.5000 x2  4 Cu 2.77, 4 Pd 2.78, 4 In 2.78
3 Pd 0.5000 0.5000 0.0000 x1  4 In 2.77, 8 Cu 2.78

***

# 21
The following is a DFT calculation (PBE) of crystalline In3CuPd3 at its relaxed geometry.

## Properties
Magnetization, μB/cell: 0.00
DOS(E_F), states/eV/atom: 0.466
Total DFT energy (no corrections), eV/atom: -4.316
E_form, meV per atom: -331.5

abc: 9.0391 9.0391 5.5873
angles: 90.00 90.00 120.00
With the nearest neighbours (Å) after each atom.
Space group R-3m (No. 166, hexagonal axes)
Symmetry-distinct sites (fractional):
1 In 0.0000 0.5000 0.0000 x9  6 Pd 2.77-2.79
2 Cu 0.0000 0.0000 0.0000 x3  6 Pd 2.77
3 Pd 0.0000 0.5000 0.5000 x9  6 In 2.77-2.79, 2 Cu 2.77

***

# 22
The following is a DFT calculation (PBE) of crystalline InCu3Pd12 at its relaxed geometry.

## Properties
Magnetization, μB/cell: 0.00
DOS(E_F), states/eV/atom: 1.279
Total DFT energy (no corrections), eV/atom: -4.974
E_form, meV per atom: -140.1

abc: 3.9332 3.9332 15.6675
angles: 90.00 90.00 90.00
With the nearest neighbours (Å) after each atom.
Space group P4/mmm (No. 123)
Symmetry-distinct sites (fractional):
1 In 0.0000 0.0000 0.0000 x1  12 Pd 2.78-2.87
2 Cu 0.0000 0.0000 0.2553 x2  12 Pd 2.74-2.78
3 Cu 0.0000 0.0000 0.5000 x1  12 Pd 2.74-2.78
4 Pd 0.0000 0.5000 0.1332 x4  2 Cu 2.74, 8 Pd 2.75-2.87, 2 In 2.87
5 Pd 0.0000 0.5000 0.3780 x4  8 Pd 2.74-2.78, 4 Cu 2.74-2.75
6 Pd 0.5000 0.5000 0.0000 x1  4 In 2.78, 8 Pd 2.87
7 Pd 0.5000 0.5000 0.2561 x2  8 Pd 2.74-2.75, 4 Cu 2.78
8 Pd 0.5000 0.5000 0.5000 x1  8 Pd 2.74, 4 Cu 2.78